Record 1
DFT (PBE-GGA) results for a relaxed structure of Cs2SnHI6.

CIF file:
```
data_Cs2SnHI6
_chemical_formula_sum 'Cs4 Sn2 H2 I12'
_space_group_name_H-M_alt 'I 4/m m m'
_space_group_IT_number 139
_space_group_name_Hall '-I 4 2'
_cell_length_a 7.928
_cell_length_b 7.928
_cell_length_c 13.158
_cell_angle_alpha 90.00
_cell_angle_beta 90.00
_cell_angle_gamma 90.00
loop_
_atom_site_label
_atom_site_fract_x
_atom_site_fract_y
_atom_site_fract_z
Cs1 0.000 0.500 0.250
Sn1 0.000 0.000 0.000
H1 0.000 0.000 0.500
I1 0.000 0.000 0.228
I2 0.236 0.236 0.500
```

=====

Record 2
DFT (PBE-GGA) results for a relaxed structure of Cs2SrHI6.

CIF file:
```
data_Cs2SrHI6
_chemical_formula_sum 'Cs4 Sr2 H2 I12'
_space_group_name_H-M_alt 'I 4/m m m'
_space_group_IT_number 139
_space_group_name_Hall '-I 4 2'
_cell_length_a 8.093
_cell_length_b 8.093
_cell_length_c 14.394
_cell_angle_alpha 90.00
_cell_angle_beta 90.00
_cell_angle_gamma 90.00
loop_
_atom_site_label
_atom_site_fract_x
_atom_site_fract_y
_atom_site_fract_z
Cs1 0.000 0.500 0.250
Sr1 0.000 0.000 0.000
H1 0.000 0.000 0.500
I1 0.000 0.000 0.225
I2 0.215 0.215 0.500
```

=====

Record 3
DFT (PBE-GGA) results for a relaxed structure of Cs2TaHI6.

CIF file:
```
data_Cs2TaHI6
_chemical_formula_sum 'Cs8 Ta4 H4 I24'
_space_group_name_H-M_alt 'F m -3 m'
_space_group_IT_number 225
_space_group_name_Hall '-F 4 2 3'
_cell_length_a 11.829
_cell_length_b 11.829
_cell_length_c 11.829
_cell_angle_alpha 90.00
_cell_angle_beta 90.00
_cell_angle_gamma 90.00
loop_
_atom_site_label
_atom_site_fract_x
_atom_site_fract_y
_atom_site_fract_z
Cs1 0.250 0.250 0.250
Ta1 0.000 0.000 0.000
H1 0.000 0.000 0.500
I1 0.000 0.000 0.238
```

=====

Record 4
DFT (PBE-GGA) results for a relaxed structure of Cs2TbHI6.

CIF file:
```
data_Cs2TbHI6
_chemical_formula_sum 'Cs2 Tb1 H1 I6'
_space_group_name_H-M_alt 'P -1'
_space_group_IT_number 2
_space_group_name_Hall '-P 1'
_cell_length_a 8.145
_cell_length_b 8.385
_cell_length_c 8.392
_cell_angle_alpha 108.57
_cell_angle_beta 108.67
_cell_angle_gamma 108.73
loop_
_atom_site_label
_atom_site_fract_x
_atom_site_fract_y
_atom_site_fract_z
Cs1 0.000 0.229 0.271
Tb1 0.500 0.500 0.000
H1 0.500 0.000 0.500
I1 0.062 0.327 0.828
I2 0.396 0.136 0.636
I3 0.500 0.278 0.221
```

=====

Record 5
DFT (PBE-GGA) results for a relaxed structure of Cs2TcHI6.

CIF file:
```
data_Cs2TcHI6
_chemical_formula_sum 'Cs4 Tc2 H2 I12'
_space_group_name_H-M_alt 'I 4/m m m'
_space_group_IT_number 139
_space_group_name_Hall '-I 4 2'
_cell_length_a 8.258
_cell_length_b 8.258
_cell_length_c 11.769
_cell_angle_alpha 90.00
_cell_angle_beta 90.00
_cell_angle_gamma 90.00
loop_
_atom_site_label
_atom_site_fract_x
_atom_site_fract_y
_atom_site_fract_z
Cs1 0.000 0.500 0.250
Tc1 0.000 0.000 0.000
H1 0.000 0.000 0.500
I1 0.000 0.000 0.235
I2 0.237 0.237 0.000
```

=====

Record 6
DFT (PBE-GGA) results for a relaxed structure of CsTeHI2.

CIF file:
```
data_CsTeHI2
_chemical_formula_sum 'Cs1 Te1 H1 I2'
_space_group_name_H-M_alt 'P 4/m m m'
_space_group_IT_number 123
_space_group_name_Hall '-P 4 2'
_cell_length_a 7.465
_cell_length_b 7.465
_cell_length_c 7.930
_cell_angle_alpha 90.00
_cell_angle_beta 90.00
_cell_angle_gamma 90.00
loop_
_atom_site_label
_atom_site_fract_x
_atom_site_fract_y
_atom_site_fract_z
Cs1 0.000 0.000 0.000
Te1 0.000 0.000 0.500
H1 0.500 0.500 0.500
I1 0.000 0.500 0.000
```

=====

no.,total energy (eV/atom)
1,-2.45
2,-2.46
3,-3.24
4,-3.05
5,-2.96
6,-1.55